(1)
GGA-PBE CaNb2H, relaxed; DOS(E_F) = 2.8 states/eV/f.u.; space-group type = Imm2; calculated volume = 18.6 A^3/atom; magnetization = 0.000 μB per atom; E_tot = -24.8 eV per formula unit
1.0
-1.725 1.947 5.545
1.725 -1.947 5.545
1.725 1.947 -5.545
Ca Nb H
1 2 1
Cartesian
0.000 0.000 0.000
0.000 0.000 3.315
0.000 0.000 7.848
1.725 0.000 2.163


(2)
GGA-PBE BaTiCd, relaxed; DOS(E_F) = 3.8 states/eV/f.u.; space-group type = P1; energy of formation = 0.577 eV/f.u.; calculated volume = 35.6 A^3/atom; magnetization = 0.001 μB per atom
1.0
4.621 0.000 0.000
-2.260 4.037 0.000
-0.087 -2.641 11.449
Ba Ti Cd
2 2 2
Cartesian
0.000 0.000 0.000
-0.006 -0.002 7.359
-0.214 0.125 3.680
2.451 1.266 3.683
0.032 2.688 2.234
0.032 2.689 5.121


(3)
GGA-PBE BaSnAu11, relaxed; DOS(E_F) = 3.6 states/eV/f.u.; space-group type = C2/m; energy of formation = -2.616 eV/f.u.; calculated volume = 20.9 A^3/atom; magnetization = 0.000 μB per atom
1.0
2.809 -6.600 0.000
2.809 6.600 0.000
-2.205 0.000 7.311
Ba Sn Au
1 1 11
Cartesian
0.000 0.000 0.000
1.706 0.000 3.656
-1.102 0.000 3.656
1.404 3.300 0.000
0.658 4.168 4.762
0.613 1.441 5.733
2.755 4.168 2.549
2.799 1.441 1.578
1.404 -3.300 0.000
0.613 -1.441 5.733
0.658 -4.168 4.762
2.799 -1.441 1.578
2.755 -4.168 2.549